Entry 1:
The following is a PBE+U calculation of a relaxed structure of CsFeF4, from Alexandria via LeMat-Bulk.

abc: 5.1083 6.7958 7.6681
angles: 111.88 108.66 92.16
Last column: nearest neighbours and their distance in Å.
Space group P-1 (No. 2)
Symmetry-distinct sites (fractional):
Cs 0.0675 0.1814 0.3435  9 F 3.05-3.42
Fe 0.3180 0.6065 0.1290  6 F 1.88-2.07
F 0.0502 0.3110 0.9792  2 Fe 1.99-2.07
F 0.2933 0.6192 0.3723  1 Fe 1.88
F 0.3584 0.5469 0.8554  2 Fe 1.98-2.06
F 0.4821 0.1112 0.7570  1 Fe 1.88

M_tot: 4.988 μB/f.u.
relative energy among the computed polymorphs: 0 meV/atom
D(E_F): 0.000 states/eV per atom
crystal system: triclinic

=====

Entry 2:
The following is a PBE+U calculation of a relaxed structure of CsFeF2, from Alexandria via LeMat-Bulk.

abc: 4.1431 4.1431 21.7533
angles: 90.00 90.00 120.00
Last column: nearest neighbours and their distance in Å.
Space group R-3m (No. 166, hexagonal axes)
Symmetry-distinct sites (fractional):
Cs 0.0000 0.0000 0.0000  6 F 2.94
Fe 0.0000 0.0000 0.5000  2 F 1.91
F 0.0000 0.0000 0.4123  1 Fe 1.91

M_tot: 3.000 μB/f.u.
relative energy among the computed polymorphs: 0 meV/atom
D(E_F): 1.363 states/eV per atom
crystal system: trigonal

=====

Entry 3:
The following is a PBE+U calculation of a relaxed structure of CsFe2F6, from Alexandria via LeMat-Bulk.

abc: 5.5148 5.5148 6.4604
angles: 90.00 90.00 120.00
Last column: nearest neighbours and their distance in Å.
Space group P-31m (No. 162)
Symmetry-distinct sites (fractional):
Cs 0.0000 0.0000 0.0000  6 F 3.01
Fe 0.3333 0.6667 0.5000  6 F 2.03
F 0.0000 0.3853 0.6693  2 Fe 2.03

M_tot: 9.000 μB/f.u.
relative energy among the computed polymorphs: 0 meV/atom
D(E_F): 0.647 states/eV per atom
crystal system: trigonal